(1)
This record from Alexandria via LeMat-Bulk describes crystalline KMn2Fe at its relaxed geometry. The functional is GGA-PBE.

Lattice parameters (Å, degrees): 6.745 6.745 6.745 90.00 90.00 90.00
Element x y z (fractional)
K 0.000 0.000 0.000
K 0.000 0.500 0.500
K 0.500 0.000 0.500
K 0.500 0.500 0.000
Mn 0.000 0.000 0.500
Mn 0.000 0.500 0.000
Mn 0.250 0.250 0.750
Mn 0.250 0.750 0.250
Mn 0.500 0.000 0.000
Mn 0.500 0.500 0.500
Mn 0.750 0.250 0.250
Mn 0.750 0.750 0.750
Fe 0.250 0.250 0.250
Fe 0.250 0.750 0.750
Fe 0.750 0.250 0.750
Fe 0.750 0.750 0.250

Summary:
The offset from the most stable computed form comes out at 679.7 meV/atom. As for the formation enthalpy at 0 K: 5.51 eV/f.u. The value obtained for the density of states at the Fermi level is 1.54 states/eV/atom.

=====

(2)
This record from Alexandria via LeMat-Bulk describes crystalline InPBr3 at its relaxed geometry. The functional is GGA-PBE.

Lattice parameters (Å, degrees): 5.513 5.513 5.513 90.00 90.00 90.00
Element x y z (fractional)
In 0.000 0.000 0.000
P 0.500 0.500 0.500
Br 0.000 0.000 0.500
Br 0.000 0.500 0.000
Br 0.500 0.000 0.000

Summary:
The value obtained for the formation energy without anion corrections is 204 meV/atom. The offset from the most stable computed form comes out at 413.4 meV/atom. The value obtained for the density of states at the Fermi level is 1.61 states/eV/atom.

=====

(3)
This record from Alexandria via LeMat-Bulk describes crystalline Na2BiAs2 at its relaxed geometry. The functional is GGA-PBE.

Lattice parameters (Å, degrees): 6.642 6.642 9.985 113.86 113.86 43.37
Element x y z (fractional)
Na 0.023 0.023 0.192
Na 0.183 0.183 0.584
Na 0.817 0.817 0.416
Na 0.977 0.977 0.808
Bi 0.311 0.311 0.166
Bi 0.689 0.689 0.834
As 0.380 0.380 0.932
As 0.455 0.455 0.594
As 0.545 0.545 0.406
As 0.620 0.620 0.068

Summary:
The offset from the most stable computed form comes out at 0.0 meV/atom. As for the formation enthalpy at 0 K: -1.09 eV/f.u. The value obtained for the density of states at the Fermi level is 0.29 states/eV/atom.

=====

(4)
This record from Alexandria via LeMat-Bulk describes crystalline HgN2 at its relaxed geometry. The functional is GGA-PBE.

Lattice parameters (Å, degrees): 7.230 7.230 7.230 60.00 60.00 60.00
Element x y z (fractional)
Hg 0.125 0.125 0.125
Hg 0.875 0.875 0.875
N 0.000 0.000 0.000
N 0.000 0.000 0.500
N 0.000 0.500 0.000
N 0.500 0.000 0.000

Summary:
The value obtained for the formation energy without anion corrections is 2829 meV/atom. The offset from the most stable computed form comes out at 2792.7 meV/atom.

=====

(5)
This record from Alexandria via LeMat-Bulk describes crystalline MgNb2AlIr at its relaxed geometry. The functional is GGA-PBE.

Lattice parameters (Å, degrees): 4.699 4.699 4.539 90.00 90.00 90.00
Element x y z (fractional)
Mg 0.000 0.000 0.000
Nb 0.000 0.500 0.500
Nb 0.500 0.000 0.500
Al 0.000 0.000 0.500
Ir 0.500 0.500 0.000

Summary:
As for the formation enthalpy at 0 K: 6.06 eV/f.u. The value obtained for the density of states at the Fermi level is 0.83 states/eV/atom.

=====

(6)
This record from Alexandria via LeMat-Bulk describes crystalline Ti7Pb2C2 at its relaxed geometry. The functional is GGA-PBE.

Lattice parameters (Å, degrees): 5.667 5.667 7.520 96.67 96.67 112.12
Element x y z (fractional)
Ti 0.000 0.000 0.000
Ti 0.085 0.510 0.841
Ti 0.408 0.408 0.160
Ti 0.490 0.915 0.159
Ti 0.510 0.085 0.841
Ti 0.592 0.592 0.840
Ti 0.915 0.490 0.159
Pb 0.322 0.678 0.500
Pb 0.678 0.322 0.500
C 0.274 0.274 0.878
C 0.726 0.726 0.122

Summary:
As for the formation enthalpy at 0 K: 0.33 eV/f.u. The value obtained for the density of states at the Fermi level is 1.15 states/eV/atom.

=====

(7)
This record from Alexandria via LeMat-Bulk describes crystalline ZrBe2Ru at its relaxed geometry. The functional is GGA-PBE.

Lattice parameters (Å, degrees): 5.193 6.596 3.094 90.00 90.00 90.00
Element x y z (fractional)
Zr 0.000 0.000 0.000
Zr 0.500 0.500 0.000
Be 0.250 0.250 0.500
Be 0.250 0.750 0.500
Be 0.750 0.250 0.500
Be 0.750 0.750 0.500
Ru 0.000 0.500 0.000
Ru 0.500 0.000 0.000

Summary:
The offset from the most stable computed form comes out at 269.2 meV/atom. As for the formation enthalpy at 0 K: -0.36 eV/f.u. The value obtained for the density of states at the Fermi level is 0.52 states/eV/atom.

=====

(8)
This record from Alexandria via LeMat-Bulk describes crystalline Sm4Zr6O19 at its relaxed geometry. The functional is GGA-PBE.

Lattice parameters (Å, degrees): 8.250 8.250 8.250 109.47 109.47 109.47
Element x y z (fractional)
Sm 0.000 0.000 0.709
Sm 0.000 0.709 0.000
Sm 0.291 0.291 0.291
Sm 0.709 0.000 0.000
Zr 0.170 0.670 0.500
Zr 0.330 0.500 0.830
Zr 0.500 0.170 0.670
Zr 0.500 0.830 0.330
Zr 0.670 0.500 0.170
Zr 0.830 0.330 0.500
O 0.000 0.000 0.000
O 0.000 0.355 0.355
O 0.000 0.645 0.645
O 0.031 0.268 0.670
O 0.237 0.969 0.640
O 0.268 0.670 0.031
O 0.330 0.598 0.360
O 0.355 0.000 0.355
O 0.355 0.355 0.000
O 0.360 0.330 0.598
O 0.402 0.732 0.763
O 0.598 0.360 0.330
O 0.640 0.237 0.969
O 0.645 0.000 0.645
O 0.645 0.645 0.000
O 0.670 0.031 0.268
O 0.732 0.763 0.402
O 0.763 0.402 0.732
O 0.969 0.640 0.237

Summary:
The value obtained for the formation energy without anion corrections is -3091 meV/atom. The value obtained for the density of states at the Fermi level is 0.74 states/eV/atom.

=====

(9)
This record from Alexandria via LeMat-Bulk describes crystalline CdAu3I at its relaxed geometry. The functional is GGA-PBE.

Lattice parameters (Å, degrees): 5.251 5.251 5.251 90.00 90.00 90.00
Element x y z (fractional)
Cd 0.000 0.000 0.000
Au 0.000 0.000 0.500
Au 0.000 0.500 0.000
Au 0.500 0.000 0.000
I 0.500 0.500 0.500

Summary:
The value obtained for the formation energy without anion corrections is 639 meV/atom. The offset from the most stable computed form comes out at 0.0 meV/atom. The value obtained for the density of states at the Fermi level is 0.70 states/eV/atom.

=====

(10)
This record from Alexandria via LeMat-Bulk describes crystalline CeMgGe2 at its relaxed geometry. The functional is GGA-PBE.

Lattice parameters (Å, degrees): 3.558 3.558 6.661 90.00 90.00 90.00
Element x y z (fractional)
Ce 0.000 0.000 0.000
Mg 0.000 0.000 0.500
Ge 0.500 0.500 0.293
Ge 0.500 0.500 0.707

Summary:
As for the formation enthalpy at 0 K: -1.40 eV/f.u. The value obtained for the density of states at the Fermi level is 1.68 states/eV/atom.

=====

(11)
This record from Alexandria via LeMat-Bulk describes crystalline NbTcRu3 at its relaxed geometry. The functional is GGA-PBE.

Lattice parameters (Å, degrees): 4.606 4.606 4.606 90.00 90.00 90.00
Element x y z (fractional)
Nb 0.000 0.000 0.000
Tc 0.500 0.500 0.500
Ru 0.000 0.000 0.500
Ru 0.000 0.500 0.000
Ru 0.500 0.000 0.000

Summary:
The offset from the most stable computed form comes out at 1815.1 meV/atom. As for the formation enthalpy at 0 K: 9.67 eV/f.u. The value obtained for the density of states at the Fermi level is 2.66 states/eV/atom.

=====

(12)
This record from Alexandria via LeMat-Bulk describes crystalline RbAlZn3 at its relaxed geometry. The functional is GGA-PBE.

Lattice parameters (Å, degrees): 5.143 5.143 5.143 90.00 90.00 90.00
Element x y z (fractional)
Rb 0.000 0.000 0.000
Al 0.500 0.500 0.500
Zn 0.000 0.500 0.500
Zn 0.500 0.000 0.500
Zn 0.500 0.500 0.000

Summary:
The offset from the most stable computed form comes out at 0.0 meV/atom. As for the formation enthalpy at 0 K: 1.15 eV/f.u. The value obtained for the density of states at the Fermi level is 0.51 states/eV/atom.

=====

(13)
This record from Alexandria via LeMat-Bulk describes crystalline LiSmThAg at its relaxed geometry. The functional is GGA-PBE.

Lattice parameters (Å, degrees): 7.461 7.461 7.461 90.00 90.00 90.00
Element x y z (fractional)
Li 0.000 0.000 0.000
Li 0.000 0.500 0.500
Li 0.500 0.000 0.500
Li 0.500 0.500 0.000
Sm 0.250 0.250 0.750
Sm 0.250 0.750 0.250
Sm 0.750 0.250 0.250
Sm 0.750 0.750 0.750
Th 0.250 0.250 0.250
Th 0.250 0.750 0.750
Th 0.750 0.250 0.750
Th 0.750 0.750 0.250
Ag 0.000 0.000 0.500
Ag 0.000 0.500 0.000
Ag 0.500 0.000 0.000
Ag 0.500 0.500 0.500

Summary:
As for the formation enthalpy at 0 K: 0.29 eV/f.u. The value obtained for the density of states at the Fermi level is 1.24 states/eV/atom.

=====

(14)
This record from Alexandria via LeMat-Bulk describes crystalline Tb2Nd6ErTh at its relaxed geometry. The functional is GGA-PBE.

Lattice parameters (Å, degrees): 8.866 8.866 9.817 94.43 94.43 116.46
Element x y z (fractional)
Tb 0.199 0.290 0.049
Tb 0.290 0.199 0.549
Tb 0.710 0.801 0.451
Tb 0.801 0.710 0.951
Nd 0.010 0.575 0.188
Nd 0.110 0.756 0.556
Nd 0.244 0.890 0.944
Nd 0.298 0.510 0.381
Nd 0.425 0.990 0.312
Nd 0.490 0.702 0.119
Nd 0.510 0.298 0.881
Nd 0.575 0.010 0.688
Nd 0.702 0.490 0.619
Nd 0.756 0.110 0.056
Nd 0.890 0.244 0.444
Nd 0.990 0.425 0.812
Er 0.408 0.592 0.750
Er 0.592 0.408 0.250
Th 0.026 0.974 0.250
Th 0.974 0.026 0.750

Summary:
As for the formation enthalpy at 0 K: 1.44 eV/f.u. The value obtained for the density of states at the Fermi level is 1.44 states/eV/atom.

=====

(15)
This record from Alexandria via LeMat-Bulk describes crystalline Cs2AlBI6 at its relaxed geometry. The functional is GGA-PBE.

Lattice parameters (Å, degrees): 8.132 8.132 8.132 60.00 60.00 60.00
Element x y z (fractional)
Cs 0.250 0.250 0.250
Cs 0.750 0.750 0.750
Al 0.000 0.000 0.000
B 0.500 0.500 0.500
I 0.246 0.246 0.754
I 0.246 0.754 0.246
I 0.246 0.754 0.754
I 0.754 0.246 0.246
I 0.754 0.246 0.754
I 0.754 0.754 0.246

Summary:
The value obtained for the formation energy without anion corrections is -501 meV/atom. The value obtained for the density of states at the Fermi level is 0.00 states/eV/atom.

=====

(16)
This record from Alexandria via LeMat-Bulk describes crystalline TbPm2Y at its relaxed geometry. The functional is GGA-PBE.

Lattice parameters (Å, degrees): 8.125 8.125 8.125 90.00 90.00 90.00
Element x y z (fractional)
Tb 0.000 0.000 0.000
Tb 0.000 0.500 0.500
Tb 0.500 0.000 0.500
Tb 0.500 0.500 0.000
Pm 0.250 0.250 0.250
Pm 0.250 0.250 0.750
Pm 0.250 0.750 0.250
Pm 0.250 0.750 0.750
Pm 0.750 0.250 0.250
Pm 0.750 0.250 0.750
Pm 0.750 0.750 0.250
Pm 0.750 0.750 0.750
Y 0.000 0.000 0.500
Y 0.000 0.500 0.000
Y 0.500 0.000 0.000
Y 0.500 0.500 0.500

Summary:
The offset from the most stable computed form comes out at 109.2 meV/atom. As for the formation enthalpy at 0 K: 0.49 eV/f.u. The value obtained for the density of states at the Fermi level is 2.14 states/eV/atom.

=====

(17)
This record from Alexandria via LeMat-Bulk describes crystalline Li2YSb at its relaxed geometry. The functional is GGA-PBE.

Lattice parameters (Å, degrees): 5.032 5.736 6.874 90.00 90.00 90.00
Element x y z (fractional)
Li 0.000 0.000 0.000
Li 0.000 0.500 0.201
Li 0.500 0.000 0.201
Li 0.500 0.500 0.000
Y 0.000 0.500 0.669
Y 0.500 0.000 0.669
Sb 0.000 0.000 0.423
Sb 0.500 0.500 0.423

Summary:
The value obtained for the formation energy without anion corrections is -354 meV/atom. The value obtained for the density of states at the Fermi level is 0.70 states/eV/atom.

=====

(18)
This record from Alexandria via LeMat-Bulk describes crystalline CaSm2PbN at its relaxed geometry. The functional is GGA-PBE.

Lattice parameters (Å, degrees): 4.964 4.964 4.911 90.00 90.00 90.00
Element x y z (fractional)
Ca 0.000 0.000 0.000
Sm 0.000 0.500 0.500
Sm 0.500 0.000 0.500
Pb 0.500 0.500 0.000
N 0.000 0.000 0.500

Summary:
The value obtained for the formation energy without anion corrections is -911 meV/atom. The value obtained for the density of states at the Fermi level is 0.40 states/eV/atom.

=====

(19)
This record from Alexandria via LeMat-Bulk describes crystalline CsBiP2Cl at its relaxed geometry. The functional is GGA-PBE.

Lattice parameters (Å, degrees): 5.851 5.851 5.892 90.00 90.00 90.00
Element x y z (fractional)
Cs 0.000 0.000 0.000
Bi 0.500 0.500 0.500
P 0.000 0.500 0.000
P 0.500 0.000 0.000
Cl 0.000 0.000 0.500

Summary:
The value obtained for the formation energy without anion corrections is 1264 meV/atom. The offset from the most stable computed form comes out at 1196.3 meV/atom. The value obtained for the density of states at the Fermi level is 0.79 states/eV/atom.

=====

(20)
This record from Alexandria via LeMat-Bulk describes crystalline NbTeBr2 at its relaxed geometry. The functional is GGA-PBE.

Lattice parameters (Å, degrees): 3.320 3.320 35.427 90.00 90.00 120.00
Element x y z (fractional)
Nb 0.000 0.000 0.000
Nb 0.333 0.667 0.667
Nb 0.667 0.333 0.333
Te 0.000 0.000 0.500
Te 0.333 0.667 0.167
Te 0.667 0.333 0.833
Br 0.000 0.000 0.386
Br 0.000 0.000 0.614
Br 0.333 0.667 0.053
Br 0.333 0.667 0.280
Br 0.667 0.333 0.720
Br 0.667 0.333 0.947

Summary:
The value obtained for the formation energy without anion corrections is -333 meV/atom. The offset from the most stable computed form comes out at 186.7 meV/atom. The value obtained for the density of states at the Fermi level is 0.77 states/eV/atom.

=====

(21)
This record from Alexandria via LeMat-Bulk describes crystalline Y2ErPb at its relaxed geometry. The functional is GGA-PBE.

Lattice parameters (Å, degrees): 4.877 4.877 4.840 90.00 90.00 90.00
Element x y z (fractional)
Y 0.000 0.500 0.000
Y 0.500 0.000 0.000
Er 0.000 0.000 0.500
Pb 0.500 0.500 0.500

Summary:
The offset from the most stable computed form comes out at 0.0 meV/atom. As for the formation enthalpy at 0 K: -1.09 eV/f.u. The value obtained for the density of states at the Fermi level is 1.43 states/eV/atom.

=====

(22)
This record from Alexandria via LeMat-Bulk describes crystalline Ac4Pr6Ho at its relaxed geometry. The functional is GGA-PBE.

Lattice parameters (Å, degrees): 9.893 9.893 9.893 137.32 137.32 61.95
Element x y z (fractional)
Ac 0.127 0.127 0.613
Ac 0.486 0.873 0.000
Ac 0.514 0.514 0.387
Ac 0.873 0.486 0.000
Pr 0.000 0.500 0.500
Pr 0.067 0.725 0.000
Pr 0.275 0.275 0.342
Pr 0.500 0.000 0.500
Pr 0.725 0.067 0.000
Pr 0.933 0.933 0.658
Ho 0.500 0.500 0.000

Summary:
As for the formation enthalpy at 0 K: 2.63 eV/f.u. The value obtained for the density of states at the Fermi level is 1.48 states/eV/atom.